# 1
The following is a DFT calculation (PBE) of crystalline Th3MgIn3 at its relaxed geometry.

## Properties
Total energy = -4.809 eV/atom
M_tot = 0.0000 μB per atom
E_form = -0.23 eV/atom
V = 28.868 A^3/atom

a = 11.8807 Å, b = 4.7294 Å, c = 15.2353 Å
α = 90.00°, β = 109.23°, γ = 90.00°
Closest atoms and distances in Å follow each position.
Space group C2/m (No. 12)
Asymmetric unit:
Th 0.0204 0.0000 0.3757 x4  6 In 3.26-3.46, 3 Mg 3.44-3.48
Th 0.1053 0.0000 0.9203 x4  7 In 3.28-3.56
Th 0.2413 0.0000 0.2225 x4  6 In 3.28-3.51, 2 Mg 3.56
Mg 0.2374 0.5000 0.3965 x4  4 In 2.81-2.99
In 0.0264 0.5000 0.2304 x4  1 Mg 2.92, 1 In 2.93, 2 Th 3.26
In 0.1162 0.5000 0.0732 x4  2 In 2.92-2.93
In 0.1295 0.5000 0.5485 x4  3 Mg 2.81-2.99, 1 In 2.94

---

# 2
The following is a DFT calculation (PBE) of crystalline Er7Sc2In2 at its relaxed geometry.

## Properties
Total energy = -4.578 eV/atom
M_tot = 0.0004 μB per atom
E_form = -0.03 eV/atom
V = 29.311 A^3/atom

a = 3.5302 Å, b = 17.0487 Å, c = 10.7143 Å
α = 90.00°, β = 90.00°, γ = 90.00°
Closest atoms and distances in Å follow each position.
Space group Imm2 (No. 44)
Asymmetric unit:
Er 0.0000 0.0000 0.0000 x2  3 In 3.21-3.25, 2 Er 3.53
Er 0.0000 0.1083 0.4436 x4  3 In 3.28-3.29, 2 Sc 3.31, 6 Er 3.49-3.53
Er 0.0000 0.3256 0.6827 x4  1 In 3.06, 3 Sc 3.21-3.28
Er 0.0000 0.3466 0.2154 x4  2 In 3.16, 3 Sc 3.29-3.52, 6 Er 3.44-3.53
Sc 0.0000 0.2276 0.9467 x4  8 Er 3.21-3.52, 2 Sc 3.53
In 0.0000 0.0000 0.6969 x2  7 Er 3.16-3.28, 2 In 3.53
In 0.0000 0.5000 0.7502 x2  8 Er 3.06-3.29

---

# 3
The following is a DFT calculation (PBE) of crystalline TaTc2P at its relaxed geometry.

## Properties
Total energy = -9.672 eV/atom
M_tot = 0.0000 μB per atom
E_form = -0.17 eV/atom
V = 14.843 A^3/atom

a = 2.9305 Å, b = 4.0257 Å, c = 5.0328 Å
α = 90.00°, β = 90.00°, γ = 90.00°
Closest atoms and distances in Å follow each position.
Space group Pmm2 (No. 25)
Asymmetric unit:
Ta 0.0000 0.0000 0.0000 x1  2 Tc 2.45-2.58
Tc 0.0000 0.0000 0.5125 x1  2 Ta 2.45-2.58
Tc 0.5000 0.5000 0.2703 x1  2 P 2.42-2.61
P 0.5000 0.5000 0.7515 x1  2 Tc 2.42-2.61

---

# 4
The following is a DFT calculation (PBE) of crystalline BaSc2Zn2 at its relaxed geometry.

## Properties
Total energy = -3.345 eV/atom
M_tot = 0.3379 μB per atom
E_form = 0.08 eV/atom
V = 28.703 A^3/atom
Polymorph energy (0 for the lowest one) = 143.4 meV/atom

a = 5.1334 Å, b = 5.1334 Å, c = 10.8923 Å
α = 90.00°, β = 90.00°, γ = 90.00°
Closest atoms and distances in Å follow each position.
Space group I4/mmm (No. 139)
Asymmetric unit:
Ba 0.0000 0.0000 0.0000 x2  8 Zn 3.74, 10 Sc 3.75-4.01
Sc 0.0000 0.0000 0.3440 x4  4 Zn 2.76
Zn 0.0000 0.5000 0.2500 x4  4 Sc 2.76

---

# 5
The following is a DFT calculation (PBE) of crystalline BiPCO2 at its relaxed geometry.

## Properties
Total energy = -4.985 eV/atom
M_tot = 0.0000 μB per atom
V = 12.019 A^3/atom
Polymorph energy (0 for the lowest one) = 0.0 meV/atom
Formation energy from raw total energies = 0.701 eV/atom

a = 3.9609 Å, b = 3.9609 Å, c = 3.8305 Å
α = 90.00°, β = 90.00°, γ = 90.00°
Closest atoms and distances in Å follow each position.
Space group P4/mmm (No. 123)
Asymmetric unit:
Bi 0.0000 0.0000 0.0000 x1  8 O 2.76, 4 P 2.80
P 0.5000 0.5000 0.0000 x1  2 C 1.92
C 0.5000 0.5000 0.5000 x1  2 P 1.92, 4 O 1.98
O 0.0000 0.5000 0.5000 x2  2 C 1.98

---

# 6
The following is a DFT calculation (PBE) of crystalline CuAgPd2Au at its relaxed geometry.

## Properties
Total energy = -4.041 eV/atom
M_tot = 0.0000 μB per atom
E_form = 0.08 eV/atom
V = 17.183 A^3/atom

a = 4.3681 Å, b = 9.0964 Å, c = 8.6488 Å
α = 90.00°, β = 90.00°, γ = 90.00°
Closest atoms and distances in Å follow each position.
Space group Cmcm (No. 63)
Asymmetric unit:
Cu 0.0000 0.0000 0.0000 x4  2 Au 2.58, 4 Pd 2.74
Ag 0.0000 0.4500 0.2500 x4  3 Au 2.70-2.86, 4 Pd 2.74-2.79
Pd 0.0000 0.3224 0.5429 x8  2 Pd 2.66, 2 Ag 2.74-2.79, 3 Cu 2.74-2.96, 3 Au 2.83-2.96
Au 0.0000 0.1538 0.2500 x4  2 Cu 2.58, 3 Ag 2.70-2.86, 4 Pd 2.83

---

# 7
The following is a DFT calculation (PBE) of crystalline TlW2Au at its relaxed geometry.

## Properties
Total energy = -7.229 eV/atom
M_tot = 0.0000 μB per atom
E_form = 0.66 eV/atom
V = 18.701 A^3/atom
Polymorph energy (0 for the lowest one) = 149.8 meV/atom

a = 2.8601 Å, b = 2.8601 Å, c = 9.1447 Å
α = 90.00°, β = 90.00°, γ = 90.00°
Closest atoms and distances in Å follow each position.
Space group P4mm (No. 99)
Asymmetric unit:
Tl 0.0000 0.0000 0.0000 x1  4 Tl 2.86, 4 W 3.14
W 0.0000 0.0000 0.4856 x1  8 W 2.86-2.87, 4 Au 2.89
W 0.5000 0.5000 0.2627 x1  8 W 2.86-2.87, 4 Tl 3.14
Au 0.5000 0.5000 0.7106 x1  4 Au 2.86, 4 W 2.89

---

# 8
The following is a DFT calculation (PBE) of crystalline Nd8HoEr3 at its relaxed geometry.

## Properties
Total energy = -4.588 eV/atom
M_tot = 0.0001 μB per atom
E_form = 0.11 eV/atom
V = 33.696 A^3/atom

a = 7.0490 Å, b = 11.9966 Å, c = 9.8676 Å
α = 90.00°, β = 104.27°, γ = 90.00°
Closest atoms and distances in Å follow each position.
Space group C2/m (No. 12)
Asymmetric unit:
Nd 0.0685 0.2493 0.3338 x8  3 Er 3.50-3.82, 1 Ho 3.52, 6 Nd 3.52-3.64
Nd 0.1810 0.0000 0.1653 x4  3 Er 3.50-3.82, 1 Ho 3.51, 6 Nd 3.52-3.64
Nd 0.1808 0.5000 0.1666 x4  3 Er 3.50-3.51, 6 Nd 3.52-3.64, 1 Ho 3.81
Ho 0.0000 0.5000 0.5000 x2  8 Nd 3.51-3.81, 2 Er 3.52
Er 0.0000 0.0000 0.5000 x2  8 Nd 3.50-3.82, 2 Ho 3.52
Er 0.2500 0.2500 0.0000 x4  8 Nd 3.50-3.82, 2 Er 3.52